{"formula": "SrGa3Cu", "functional": "PBE", "state": "optimized geometry", "magnetic_moment_mub_per_cell": 0.000, "dft_energy_ev_per_cell": -8.65, "spacegroup": "Pm-3m, No. 221", "lattice": [[-2.207, 3.133, -4.413], [2.849, -3.379, -3.824], [-4.601, -3.595, -0.251]], "species": ["Sr", "Ga", "Ga", "Cu", "Ga"], "fractional_positions": [[0.000, 0.000, 0.000], [0.500, 0.000, 0.000], [0.000, 0.000, 0.500], [0.500, 0.500, 0.500], [0.000, 0.500, 0.000]]}